Record 1
A plane-wave DFT calculation with PBE was carried out for a relaxed structure of ZnOsAu2.

The value obtained for the energy is -17.58 eV per cell.

The structure belongs to space group P4/mmm (No. 123); the cell edges are 4.916, 4.916 and 2.711 Å and the angles 90.00°, 90.00° and 90.00°. The inequivalent atoms are Zn at (0.000, 0.000, 0.000), Os at (0.500, 0.500, 0.000) and Au at (0.000, 0.500, 0.500).

---

Record 2
A plane-wave DFT calculation with PBE was carried out for a relaxed structure of ZnOs2Au.

The value obtained for the energy is -50.35 eV per cell.

The structure belongs to space group I-4m2 (No. 119); the cell edges are 3.984, 3.984 and 7.559 Å and the angles 90.00°, 90.00° and 90.00°. The inequivalent atoms are Zn at (0.000, 0.000, 0.000), Os at (0.000, 0.000, 0.500), Os at (0.000, 0.500, 0.250) and Au at (0.000, 0.500, 0.750).

---

Record 3
A plane-wave DFT calculation with PBE was carried out for a relaxed structure of ZnOsAu2.

The value obtained for the energy is -35.36 eV per cell.

The structure belongs to space group Imm2 (No. 44); the cell edges are 2.758, 4.875 and 9.684 Å and the angles 90.00°, 90.00° and 90.00°. The inequivalent atoms are Zn at (0.000, 0.000, 0.000), Os at (0.000, 0.500, 0.731), Au at (0.000, 0.000, 0.486) and Au at (0.000, 0.500, 0.254).

---

Record 4
A plane-wave DFT calculation with PBE was carried out for a relaxed structure of ZnOsAu2.

The value obtained for the energy is -17.51 eV per cell.

The structure belongs to space group P2/m (No. 10); the cell edges are 2.719, 4.104 and 5.789 Å and the angles 90.00°, 91.39° and 90.00°. The inequivalent atoms are Zn at (0.000, 0.000, 0.000), Os at (0.000, 0.000, 0.500) and Au at (0.488, 0.500, 0.249).

---

What ΔH_f (0 K) values result from the calculations? In sequence: 0.370, 0.460, 0.344, 0.387 eV/atom.